A geometry-optimized Sr5AsI5 structure. Source: Alexandria via LeMat-Bulk, functional PBE.

Properties
- N(E_F) (states/eV per cell) = 10.76
- formation energy from raw total energies (kJ/mol of formula units) = -1464

Lattice parameters (Å, degrees): 14.7914 6.5875 9.4067 90.00 108.93 90.00
Space group C2/m (No. 12)
Asymmetric unit:
Sr (0.0000, 0.0000, 0.0000)
Sr (0.1507, 0.5000, 0.3042)
Sr (0.1563, 0.5000, 0.8541)
As (0.0000, 0.5000, 0.0000)
I (0.0000, 0.5000, 0.5000)
I (0.1606, 0.0000, 0.8165)
I (0.1774, 0.0000, 0.3404)